[1]
VASP calculation (GGA-PBE) on a geometry-optimized Lu4SiB3 structure.

Properties
Space-group type: No. 194
Size of the total moment in μB/cell: 0.0
Electronic total energy in eV/atom: -5.392

a b c (Å): 3.4618 3.4618 28.7015
angles (deg): 90.00 90.00 120.00
Atoms (fractional coordinates):
Lu: 0.3333 0.6667 0.0582
Si: 0.3333 0.6667 0.2500
B: 0.3333 0.6667 0.6180
B: 0.6667 0.3333 0.3820
Lu: 0.0000 0.0000 0.1723
B: 0.3333 0.6667 0.8820
Lu: 0.0000 0.0000 0.8277
B: 0.6667 0.3333 0.1180
Lu: 0.6667 0.3333 0.9418
Lu: 0.0000 0.0000 0.6723
Si: 0.6667 0.3333 0.7500
Lu: 0.0000 0.0000 0.3277
B: 0.0000 0.0000 0.5000
Lu: 0.6667 0.3333 0.5582
B: 0.0000 0.0000 0.0000
Lu: 0.3333 0.6667 0.4418

---

[2]
VASP calculation (GGA-PBE) on a geometry-optimized Lu2SiB structure.

Properties
Space-group type: No. 194
Size of the total moment in μB/cell: 0.0
Electronic total energy in eV/atom: -5.412

a b c (Å): 3.4905 3.4905 15.1077
angles (deg): 90.00 90.00 120.00
Atoms (fractional coordinates):
B: 0.0000 0.0000 0.0000
Lu: 0.3333 0.6667 0.1039
B: 0.0000 0.0000 0.5000
Lu: 0.6667 0.3333 0.8961
Si: 0.3333 0.6667 0.7500
Lu: 0.3333 0.6667 0.3961
Si: 0.6667 0.3333 0.2500
Lu: 0.6667 0.3333 0.6039